YMg14Cu | PBE-GGA | optimized geometry

Structure (POSCAR):
```
YMg14Cu
1.0
10.2015 0.0000 0.0000
0.0000 3.1093 5.7326
0.0000 -3.1093 5.7326
Y Mg Cu
1 14 1
Cartesian
0.0000 0.0000 0.0000 Y
0.0000 -1.4862 2.8932 Mg
0.0000 1.4862 2.8932 Mg
2.1966 0.0000 7.2097 Mg
2.5366 -1.5489 4.5173 Mg
2.5366 1.5489 4.5173 Mg
2.6500 0.0000 1.7041 Mg
5.1007 0.0000 5.5679 Mg
5.1007 -1.5146 8.4009 Mg
5.1007 1.5146 8.4009 Mg
5.1007 0.0000 11.2522 Mg
7.5515 0.0000 1.7041 Mg
7.6649 -1.5489 4.5173 Mg
7.6649 1.5489 4.5173 Mg
8.0048 0.0000 7.2097 Mg
0.0000 0.0000 5.2957 Cu
```

## Properties
Polymorph energy (0 for the lowest one) (meV per atom): 0.0
Space-group type: Amm2, No. 38
DFT formation energy (eV/atom): 0.0023
Final energy (eV per formula unit): -32.85
Total magnetic moment (μB/f.u.): 0.0

---

Y2Mg2Cu | PBE-GGA | optimized geometry

Structure (POSCAR):
```
Y2Mg2Cu
1.0
-2.1542 2.1542 7.5619
2.1542 -2.1542 7.5619
2.1542 2.1542 -7.5619
Y Mg Cu
2 2 1
Cartesian
2.1542 0.0000 3.7810 Y
0.0000 2.1542 3.7810 Y
0.0000 0.0000 1.3488 Mg
0.0000 0.0000 13.7750 Mg
0.0000 0.0000 7.5619 Cu
```

## Properties
Polymorph energy (0 for the lowest one) (meV per atom): 710.6
Space-group type: I4/mmm, No. 139
DFT formation energy (eV/atom): 0.5986
Final energy (eV per formula unit): -17.22
Total magnetic moment (μB/f.u.): 0.0

---

Y4MgCu | PBE-GGA | optimized geometry

Structure (POSCAR):
```
Y4MgCu
1.0
0.0000 4.4627 4.4627
4.4627 0.0000 4.4627
4.4627 4.4627 0.0000
Y Mg Cu
4 1 1
Cartesian
1.1174 1.1174 1.1174 Y
3.3453 3.3453 1.1174 Y
3.3453 1.1174 3.3453 Y
1.1174 3.3453 3.3453 Y
4.4627 4.4627 4.4627 Mg
6.6940 6.6940 6.6940 Cu
```

## Properties
Polymorph energy (0 for the lowest one) (meV per atom): 663.4
Space-group type: F-43m, No. 216
DFT formation energy (eV/atom): 0.5456
Final energy (eV per formula unit): -28.27
Total magnetic moment (μB/f.u.): 0.0